(1)
Here is an optimized crystal structure of PrNdAuSe from Alexandria via LeMat-Bulk. Energies are from PBE.

CIF file:
```
data_PrNdAuSe
_cell_length_a 4.287
_cell_length_b 4.287
_cell_length_c 6.181
_cell_angle_alpha 90.00
_cell_angle_beta 90.00
_cell_angle_gamma 90.00
_space_group_name_H-M_alt 'P 1'
_space_group_IT_number 1
loop_
_space_group_symop_operation_xyz
'x,y,z'
loop_
_atom_site_label
_atom_site_type_symbol
_atom_site_fract_x
_atom_site_fract_y
_atom_site_fract_z
Pr1 Pr 0.000 0.000 0.000
Nd1 Nd 0.500 0.500 0.500
Au1 Au 0.500 0.500 0.000
Se1 Se 0.000 0.000 0.500
```



(2)
Here is an optimized crystal structure of PrNdSiAu from Alexandria via LeMat-Bulk. Energies are from PBE.

CIF file:
```
data_PrNdSiAu
_cell_length_a 5.240
_cell_length_b 5.240
_cell_length_c 5.240
_cell_angle_alpha 60.00
_cell_angle_beta 60.00
_cell_angle_gamma 60.00
_space_group_name_H-M_alt 'P 1'
_space_group_IT_number 1
loop_
_space_group_symop_operation_xyz
'x,y,z'
loop_
_atom_site_label
_atom_site_type_symbol
_atom_site_fract_x
_atom_site_fract_y
_atom_site_fract_z
Pr1 Pr 0.000 0.000 0.000
Nd1 Nd 0.500 0.500 0.500
Si1 Si 0.750 0.750 0.750
Au1 Au 0.250 0.250 0.250
```



(3)
Here is an optimized crystal structure of PrNdTe2Au from Alexandria via LeMat-Bulk. Energies are from PBE.

CIF file:
```
data_PrNdTe2Au
_cell_length_a 4.429
_cell_length_b 4.429
_cell_length_c 15.421
_cell_angle_alpha 90.00
_cell_angle_beta 90.00
_cell_angle_gamma 90.00
_space_group_name_H-M_alt 'P 1'
_space_group_IT_number 1
loop_
_space_group_symop_operation_xyz
'x,y,z'
loop_
_atom_site_label
_atom_site_type_symbol
_atom_site_fract_x
_atom_site_fract_y
_atom_site_fract_z
Pr1 Pr 0.250 0.250 0.144
Pr2 Pr 0.750 0.750 0.856
Nd1 Nd 0.250 0.250 0.588
Nd2 Nd 0.750 0.750 0.412
Te1 Te 0.250 0.250 0.378
Te2 Te 0.250 0.250 0.798
Te3 Te 0.750 0.750 0.202
Te4 Te 0.750 0.750 0.622
Au1 Au 0.250 0.750 0.000
Au2 Au 0.750 0.250 0.000
```



(4)
Here is an optimized crystal structure of PrNdTlAu from Alexandria via LeMat-Bulk. Energies are from PBE.

CIF file:
```
data_PrNdTlAu
_cell_length_a 3.747
_cell_length_b 3.747
_cell_length_c 8.015
_cell_angle_alpha 90.00
_cell_angle_beta 90.00
_cell_angle_gamma 90.00
_space_group_name_H-M_alt 'P 1'
_space_group_IT_number 1
loop_
_space_group_symop_operation_xyz
'x,y,z'
loop_
_atom_site_label
_atom_site_type_symbol
_atom_site_fract_x
_atom_site_fract_y
_atom_site_fract_z
Pr1 Pr 0.000 0.000 0.000
Nd1 Nd 0.000 0.000 0.541
Tl1 Tl 0.500 0.500 0.272
Au1 Au 0.500 0.500 0.763
```

The calculated formation energy comes out at -0.57 eV per atom. The energy above the most stable polymorph in this dataset is 0 meV per atom.



(5)
Here is an optimized crystal structure of PrNdTlAu from Alexandria via LeMat-Bulk. Energies are from PBE.

CIF file:
```
data_PrNdTlAu
_cell_length_a 5.426
_cell_length_b 5.426
_cell_length_c 5.426
_cell_angle_alpha 60.00
_cell_angle_beta 60.00
_cell_angle_gamma 60.00
_space_group_name_H-M_alt 'P 1'
_space_group_IT_number 1
loop_
_space_group_symop_operation_xyz
'x,y,z'
loop_
_atom_site_label
_atom_site_type_symbol
_atom_site_fract_x
_atom_site_fract_y
_atom_site_fract_z
Pr1 Pr 0.000 0.000 0.000
Nd1 Nd 0.500 0.500 0.500
Tl1 Tl 0.250 0.250 0.250
Au1 Au 0.750 0.750 0.750
```

The calculated formation energy comes out at -0.52 eV per atom. The energy above the most stable polymorph in this dataset is 44 meV per atom.



(6)
Here is an optimized crystal structure of Nd2PtAu from Alexandria via LeMat-Bulk. Energies are from PBE.

CIF file:
```
data_Nd2PtAu
_cell_length_a 5.908
_cell_length_b 4.679
_cell_length_c 7.853
_cell_angle_alpha 90.00
_cell_angle_beta 110.19
_cell_angle_gamma 90.00
_space_group_name_H-M_alt 'P 1'
_space_group_IT_number 1
loop_
_space_group_symop_operation_xyz
'x,y,z'
loop_
_atom_site_label
_atom_site_type_symbol
_atom_site_fract_x
_atom_site_fract_y
_atom_site_fract_z
Nd1 Nd 0.219 0.250 0.435
Nd2 Nd 0.232 0.250 0.926
Nd3 Nd 0.768 0.750 0.074
Nd4 Nd 0.781 0.750 0.565
Pt1 Pt 0.326 0.750 0.707
Pt2 Pt 0.674 0.250 0.293
Au1 Au 0.323 0.750 0.207
Au2 Au 0.677 0.250 0.793
```

The calculated formation energy comes out at -0.98 eV per atom.



(7)
Here is an optimized crystal structure of Nd2PtAu from Alexandria via LeMat-Bulk. Energies are from PBE.

CIF file:
```
data_Nd2PtAu
_cell_length_a 7.599
_cell_length_b 7.599
_cell_length_c 7.599
_cell_angle_alpha 32.29
_cell_angle_beta 32.29
_cell_angle_gamma 32.29
_space_group_name_H-M_alt 'P 1'
_space_group_IT_number 1
loop_
_space_group_symop_operation_xyz
'x,y,z'
loop_
_atom_site_label
_atom_site_type_symbol
_atom_site_fract_x
_atom_site_fract_y
_atom_site_fract_z
Nd1 Nd 0.000 0.000 0.000
Nd2 Nd 0.183 0.183 0.183
Pt1 Pt 0.590 0.590 0.590
Au1 Au 0.426 0.426 0.426
```

The calculated formation energy comes out at -0.89 eV per atom.



(8)
Here is an optimized crystal structure of Nd2PtAu2 from Alexandria via LeMat-Bulk. Energies are from PBE.

CIF file:
```
data_Nd2PtAu2
_cell_length_a 3.804
_cell_length_b 7.827
_cell_length_c 7.827
_cell_angle_alpha 31.26
_cell_angle_beta 90.00
_cell_angle_gamma 90.00
_space_group_name_H-M_alt 'P 1'
_space_group_IT_number 1
loop_
_space_group_symop_operation_xyz
'x,y,z'
loop_
_atom_site_label
_atom_site_type_symbol
_atom_site_fract_x
_atom_site_fract_y
_atom_site_fract_z
Nd1 Nd 0.000 0.000 0.000
Nd2 Nd 0.000 0.248 0.248
Pt1 Pt 0.500 0.439 0.439
Au1 Au 0.500 0.627 0.627
Au2 Au 0.500 0.818 0.818
```

The calculated formation energy comes out at -0.87 eV per atom.



(9)
Here is an optimized crystal structure of Nd3Pt4Au from Alexandria via LeMat-Bulk. Energies are from PBE.

CIF file:
```
data_Nd3Pt4Au
_cell_length_a 8.175
_cell_length_b 8.175
_cell_length_c 8.175
_cell_angle_alpha 151.47
_cell_angle_beta 131.14
_cell_angle_gamma 57.56
_space_group_name_H-M_alt 'P 1'
_space_group_IT_number 1
loop_
_space_group_symop_operation_xyz
'x,y,z'
loop_
_atom_site_label
_atom_site_type_symbol
_atom_site_fract_x
_atom_site_fract_y
_atom_site_fract_z
Nd1 Nd 0.000 0.000 0.000
Nd2 Nd 0.319 0.819 0.500
Nd3 Nd 0.681 0.181 0.500
Pt1 Pt 0.069 0.373 0.696
Pt2 Pt 0.323 0.627 0.696
Pt3 Pt 0.677 0.373 0.304
Pt4 Pt 0.931 0.627 0.304
Au1 Au 0.500 0.500 0.000
```

The calculated formation energy comes out at -0.91 eV per atom.



(10)
Here is an optimized crystal structure of Nd2PtAu from Alexandria via LeMat-Bulk. Energies are from PBE.

CIF file:
```
data_Nd2PtAu
_cell_length_a 3.656
_cell_length_b 3.656
_cell_length_c 7.365
_cell_angle_alpha 90.00
_cell_angle_beta 90.00
_cell_angle_gamma 90.00
_space_group_name_H-M_alt 'P 1'
_space_group_IT_number 1
loop_
_space_group_symop_operation_xyz
'x,y,z'
loop_
_atom_site_label
_atom_site_type_symbol
_atom_site_fract_x
_atom_site_fract_y
_atom_site_fract_z
Nd1 Nd 0.000 0.000 0.240
Nd2 Nd 0.000 0.000 0.760
Pt1 Pt 0.500 0.500 0.000
Au1 Au 0.500 0.500 0.500
```

The calculated formation energy comes out at -0.91 eV per atom.



(11)
Here is an optimized crystal structure of NdPt2Au4 from Alexandria via LeMat-Bulk. Energies are from PBE.

CIF file:
```
data_NdPt2Au4
_cell_length_a 5.678
_cell_length_b 5.678
_cell_length_c 5.476
_cell_angle_alpha 118.74
_cell_angle_beta 118.74
_cell_angle_gamma 76.83
_space_group_name_H-M_alt 'P 1'
_space_group_IT_number 1
loop_
_space_group_symop_operation_xyz
'x,y,z'
loop_
_atom_site_label
_atom_site_type_symbol
_atom_site_fract_x
_atom_site_fract_y
_atom_site_fract_z
Nd1 Nd 0.000 0.000 0.000
Pt1 Pt 0.500 0.500 0.250
Pt2 Pt 0.500 0.500 0.750
Au1 Au 0.001 0.397 0.699
Au2 Au 0.397 0.001 0.699
Au3 Au 0.603 0.999 0.301
Au4 Au 0.999 0.603 0.301
```

The calculated formation energy comes out at -0.43 eV per atom.



(12)
Here is an optimized crystal structure of Nd3PtAu2 from Alexandria via LeMat-Bulk. Energies are from PBE.

CIF file:
```
data_Nd3PtAu2
_cell_length_a 8.239
_cell_length_b 8.239
_cell_length_c 7.393
_cell_angle_alpha 90.00
_cell_angle_beta 90.00
_cell_angle_gamma 143.34
_space_group_name_H-M_alt 'P 1'
_space_group_IT_number 1
loop_
_space_group_symop_operation_xyz
'x,y,z'
loop_
_atom_site_label
_atom_site_type_symbol
_atom_site_fract_x
_atom_site_fract_y
_atom_site_fract_z
Nd1 Nd 0.000 0.000 0.247
Nd2 Nd 0.000 0.000 0.753
Nd3 Nd 0.330 0.670 0.240
Nd4 Nd 0.330 0.670 0.760
Nd5 Nd 0.670 0.330 0.240
Nd6 Nd 0.670 0.330 0.760
Pt1 Pt 0.157 0.843 0.000
Pt2 Pt 0.843 0.157 0.000
Au1 Au 0.168 0.832 0.500
Au2 Au 0.500 0.500 0.000
Au3 Au 0.500 0.500 0.500
Au4 Au 0.832 0.168 0.500
```

The calculated formation energy comes out at -0.86 eV per atom. The energy above the most stable polymorph in this dataset is 0 meV per atom.



| no. | E_tot (eV/cell) |
| --- | --- |
| 1 | -21.29 |
| 2 | -20.68 |
| 3 | -50.48 |
| 4 | -17.45 |
| 5 | -17.28 |
| 6 | -45.57 |
| 7 | -22.42 |
| 8 | -26.47 |
| 9 | -49.00 |
| 10 | -22.48 |
| 11 | -32.97 |
| 12 | -64.09 |